A plane-wave DFT calculation with PBE was carried out for a relaxed Sm7DyEr2 crystal. Values from VASP.

Cell and atoms, written as Quantum ESPRESSO input:
```
&SYSTEM
  ibrav = 0, nat = 10, ntyp = 3
/
ATOMIC_SPECIES
Sm 150.36 Sm.upf
Dy 162.50 Dy.upf
Er 167.26 Er.upf
CELL_PARAMETERS angstrom
9.1740 -2.7599 0.0000
9.1740 2.7599 0.0000
-2.7142 0.0000 6.5239
ATOMIC_POSITIONS crystal
Sm 0.0000 0.0000 0.0000
Sm 0.1988 0.1988 0.6990
Sm 0.3912 0.3912 0.1410
Sm 0.3912 0.3912 0.6406
Sm 0.6088 0.6088 0.3594
Sm 0.6088 0.6088 0.8590
Sm 0.8012 0.8012 0.3010
Dy 0.0000 0.0000 0.5000
Er 0.1996 0.1996 0.1998
Er 0.8004 0.8004 0.8002
```

Symmetry   No. 12
Magnetization   0.0 μB/f.u.
Calculated formation energy   0.052 eV/atom
Offset from the most stable computed form   0.000 eV per formula unit